PBE-GGA Tb8Bi2C3, optimized geometry; crystal system = monoclinic; formation enthalpy at 0 K = -0.39 eV per atom; DOS at the Fermi energy = 9.4 states/eV per cell; DFT total energy = -0.4383 Ry per atom
1.0
6.4308 0.0000 0.1989
0.0000 7.3039 0.0000
-2.3583 -3.6519 7.3665
Tb Bi C
8 2 3
direct
0.9169 0.5932 0.1864
0.0831 0.4068 0.8136
0.8952 0.0908 0.1816
0.1048 0.9092 0.8184
0.6131 0.6707 0.8223
0.6131 0.1516 0.8223
0.3869 0.8484 0.1777
0.3869 0.3293 0.1777
0.3225 0.2536 0.5071
0.6775 0.7464 0.4929
0.5000 0.0000 0.0000
0.0000 0.2521 0.0000
0.0000 0.7479 0.0000